Entry 1:
Crystalline BeP2Rh at its relaxed geometry, computed with PBE.

Cell: 4.394 4.394 4.394 Å, 133.45 120.63 78.62°
Atoms (fractional coordinates):
Rh 0.250 0.750 0.500
P 0.534 0.534 0.000
P 0.966 0.966 0.000
Be 0.750 0.250 0.500

## Properties
Crystal system   orthorhombic
Symmetry   Immm (71)
Formation energy from the elements   0.064 eV per atom
Fermi-level density of states   0.493 states/eV per atom
E_tot   -5.410 eV per atom

=====

Entry 2:
Crystalline Nd2HoTh2 at its relaxed geometry, computed with PBE.

Cell: 3.612 3.612 14.822 Å, 83.00 83.00 60.00°
Atoms (fractional coordinates):
Th 0.398 0.398 0.805
Th 0.602 0.602 0.195
Nd 0.797 0.797 0.610
Nd 0.203 0.203 0.390
Ho 0.000 0.000 0.000

## Properties
Crystal system   trigonal
Symmetry   R-3m (166)
Formation energy from the elements   0.034 eV per atom
Fermi-level density of states   1.466 states/eV per atom
E_tot   -5.757 eV per atom

=====

Entry 3:
Crystalline TlSi2Rh2 at its relaxed geometry, computed with PBE.

Cell: 4.228 4.228 5.650 Å, 68.03 68.03 90.00°
Atoms (fractional coordinates):
Tl 0.000 0.000 0.000
Si 0.628 0.628 0.744
Si 0.372 0.372 0.256
Rh 0.750 0.250 0.500
Rh 0.250 0.750 0.500

## Properties
E above lowest polymorph   0.064 eV/atom
Crystal system   tetragonal
Symmetry   I4/mmm (139)
Raw formation energy   -0.393 eV per atom
Fermi-level density of states   0.484 states/eV per atom
E_tot   -5.976 eV per atom

=====

Entry 4:
Crystalline SrPm2Pa at its relaxed geometry, computed with PBE.

Cell: 3.563 3.563 12.726 Å, 81.95 81.95 60.00°
Atoms (fractional coordinates):
Sr 0.000 0.000 0.000
Pm 0.905 0.905 0.284
Pm 0.095 0.095 0.716
Pa 0.500 0.500 0.500

## Properties
Crystal system   trigonal
Symmetry   R-3m (166)
Formation energy from the elements   0.299 eV per atom
Fermi-level density of states   1.285 states/eV per atom
E_tot   -4.871 eV per atom

=====

Entry 5:
Crystalline Ca12SbN6 at its relaxed geometry, computed with PBE.

Cell: 7.709 7.709 7.709 Å, 106.54 106.54 106.54°
Atoms (fractional coordinates):
N 0.359 0.755 0.755
N 0.755 0.359 0.755
N 0.755 0.755 0.359
N 0.245 0.245 0.641
N 0.245 0.641 0.245
N 0.641 0.245 0.245
Ca 0.811 0.553 0.553
Ca 0.880 0.500 0.120
Ca 0.447 0.447 0.189
Ca 0.500 0.880 0.120
Ca 0.553 0.811 0.553
Ca 0.447 0.189 0.447
Ca 0.120 0.500 0.880
Ca 0.189 0.447 0.447
Ca 0.880 0.120 0.500
Ca 0.120 0.880 0.500
Ca 0.500 0.120 0.880
Ca 0.553 0.553 0.811
Sb 0.000 0.000 0.000

## Properties
Crystal system   trigonal
Symmetry   R-3m (166)
Raw formation energy   -0.375 eV per atom
Fermi-level density of states   0.279 states/eV per atom
E_tot   -4.485 eV per atom

=====

Entry 6:
Crystalline AlV2InHg at its relaxed geometry, computed with PBE.

Cell: 5.173 5.151 5.173 Å, 90.00 90.00 90.00°
Last column: magnetic moment on the atom in μB.
Atoms (fractional coordinates):
Hg 0.000 0.000 0.000  0.10
In 0.000 0.500 0.000  -0.06
Al 0.500 0.500 0.500  -0.02
V 0.000 0.000 0.500  2.75
V 0.500 0.000 0.000  2.79

## Properties
Crystal system   tetragonal
Symmetry   P4/mmm (123)
Formation energy from the elements   1.381 eV per atom
Fermi-level density of states   1.540 states/eV per atom
E_tot   -3.623 eV per atom

=====

Entry 7:
Crystalline LaEr8Tm3 at its relaxed geometry, computed with PBE.

Cell: 8.579 8.579 8.579 Å, 97.74 136.72 97.89°
Atoms (fractional coordinates):
Tm 0.500 0.262 0.762
Tm 0.000 0.500 0.500
Tm 0.500 0.738 0.238
La 0.000 0.000 0.000
Er 0.984 0.739 0.244
Er 0.016 0.260 0.756
Er 0.505 0.261 0.244
Er 0.829 0.578 0.748
Er 0.495 0.740 0.756
Er 0.170 0.422 0.251
Er 0.830 0.081 0.252
Er 0.171 0.919 0.749

## Properties
Crystal system   orthorhombic
Symmetry   Immm (71)
Formation energy from the elements   0.336 eV per atom
Fermi-level density of states   1.332 states/eV per atom
E_tot   -4.234 eV per atom

=====

Entry 8:
Crystalline PrSc3Co at its relaxed geometry, computed with PBE.

Cell: 4.973 4.973 4.973 Å, 90.00 90.00 90.00°
Atoms (fractional coordinates):
Sc 0.000 0.500 0.000
Sc 0.000 0.000 0.500
Sc 0.500 0.000 0.000
Co 0.000 0.000 0.000
Pr 0.500 0.500 0.500

## Properties
Crystal system   cubic
Symmetry   Pm-3m (221)
Formation energy from the elements   -0.113 eV per atom
Fermi-level density of states   1.094 states/eV per atom
E_tot   -6.289 eV per atom

=====

Entry 9:
Crystalline CaCd2Ir at its relaxed geometry, computed with PBE.

Cell: 5.449 5.449 6.461 Å, 56.87 56.87 35.09°
Atoms (fractional coordinates):
Cd 0.816 0.816 0.799
Cd 0.029 0.029 0.976
Ca 0.194 0.194 0.353
Ir 0.461 0.461 0.373

## Properties
Crystal system   monoclinic
Symmetry   Cm (8)
Formation energy from the elements   -0.066 eV per atom
Fermi-level density of states   0.486 states/eV per atom
E_tot   -3.239 eV per atom

=====

Entry 10:
Crystalline MgOsRu at its relaxed geometry, computed with PBE.

Cell: 4.040 5.339 4.853 Å, 73.21 65.40 90.00°
Atoms (fractional coordinates):
Os 0.410 0.732 0.574
Os 0.777 0.457 0.842
Ru 0.085 0.560 0.224
Ru 0.442 0.230 0.511
Mg 0.752 0.931 0.890
Mg 0.099 0.079 0.197

## Properties
E above lowest polymorph   0.081 eV/atom
Crystal system   monoclinic
Symmetry   Cm (8)
Formation energy from the elements   0.151 eV per atom
Fermi-level density of states   0.837 states/eV per atom
E_tot   -7.215 eV per atom

=====

Entry 11:
Crystalline SnIrI2 at its relaxed geometry, computed with PBE.

Cell: 5.267 5.267 5.267 Å, 60.00 60.00 60.00°
Last column: magnetic moment on the atom in μB.
Atoms (fractional coordinates):
I 0.250 0.250 0.250  0.09
I 0.750 0.750 0.750  0.09
Sn 0.000 0.000 0.000  -0.03
Ir 0.500 0.500 0.500  1.01

## Properties
E above lowest polymorph   0.679 eV/atom
Crystal system   cubic
Symmetry   Fm-3m (225)
Raw formation energy   0.868 eV per atom
Fermi-level density of states   0.940 states/eV per atom
E_tot   -3.123 eV per atom

=====

Entry 12:
Crystalline TbCeHgRu at its relaxed geometry, computed with PBE.

Cell: 3.406 3.406 8.069 Å, 90.00 90.00 90.00°
Atoms (fractional coordinates):
Ce 0.500 0.500 0.783
Ru 0.000 0.000 0.570
Hg 0.000 0.000 0.078
Tb 0.500 0.500 0.353

## Properties
E above lowest polymorph   0.000 eV/atom
Crystal system   tetragonal
Symmetry   P4mm (99)
Formation energy from the elements   -0.397 eV per atom
Fermi-level density of states   1.444 states/eV per atom
E_tot   -5.433 eV per atom

=====

Entry 13:
Crystalline Hf6CdBi3 at its relaxed geometry, computed with PBE.

Cell: 7.476 8.617 8.617 Å, 115.65 90.00 90.00°
Atoms (fractional coordinates):
Hf 0.101 0.387 0.219
Hf 0.806 0.440 0.003
Hf 0.306 0.942 0.058
Hf 0.806 0.997 0.560
Hf 0.029 0.742 0.258
Hf 0.601 0.219 0.387
Hf 0.306 0.560 0.997
Hf 0.806 0.058 0.942
Hf 0.529 0.258 0.742
Hf 0.101 0.781 0.613
Hf 0.601 0.613 0.781
Hf 0.306 0.003 0.440
Bi 0.771 0.578 0.422
Bi 0.271 0.422 0.578
Bi 0.974 0.105 0.299
Bi 0.474 0.299 0.105
Bi 0.974 0.701 0.895
Bi 0.474 0.895 0.701
Cd 0.117 0.185 0.815
Cd 0.617 0.815 0.185

## Properties
Crystal system   orthorhombic
Symmetry   Cmc2_1 (36)
Formation energy from the elements   0.040 eV per atom
Fermi-level density of states   0.763 states/eV per atom
E_tot   -7.188 eV per atom

=====

Entry 14:
Crystalline Sr6Au2BrN at its relaxed geometry, computed with PBE.

Cell: 7.394 8.194 10.764 Å, 90.00 88.44 90.00°
Atoms (fractional coordinates):
Sr 0.130 0.460 0.775
Sr 0.849 0.784 0.936
Sr 0.207 0.161 0.442
Sr 0.630 0.040 0.275
Sr 0.707 0.339 0.942
Sr 0.151 0.216 0.064
Sr 0.370 0.960 0.725
Sr 0.793 0.839 0.558
Sr 0.293 0.661 0.058
Sr 0.870 0.540 0.225
Sr 0.651 0.284 0.564
Sr 0.349 0.716 0.436
Br 0.500 0.000 0.000
Br 0.000 0.500 0.500
N 0.000 0.500 0.000
N 0.500 0.000 0.500
Au 0.041 0.899 0.251
Au 0.959 0.101 0.749
Au 0.459 0.399 0.249
Au 0.541 0.601 0.751

## Properties
Crystal system   monoclinic
Symmetry   P2_1/c (14)
Raw formation energy   -0.776 eV per atom
Fermi-level density of states   0.591 states/eV per atom
E_tot   -3.441 eV per atom

=====

Entry 15:
Crystalline Ti7Bi2Mo2 at its relaxed geometry, computed with PBE.

Cell: 7.328 5.495 5.495 Å, 103.48 100.34 100.34°
Atoms (fractional coordinates):
Mo 0.848 0.617 0.617
Mo 0.152 0.383 0.383
Ti 0.839 0.113 0.480
Ti 0.598 0.868 0.868
Ti 0.839 0.480 0.113
Ti 0.402 0.132 0.132
Ti 0.161 0.887 0.520
Ti 0.000 0.000 0.000
Ti 0.161 0.520 0.887
Bi 0.500 0.700 0.300
Bi 0.500 0.300 0.700

## Properties
Crystal system   monoclinic
Symmetry   C2/m (12)
Formation energy from the elements   -0.005 eV per atom
Fermi-level density of states   1.029 states/eV per atom
E_tot   -7.704 eV per atom

=====

Entry 16:
Crystalline FeIrOs4 at its relaxed geometry, computed with PBE.

Cell: 5.095 5.095 5.095 Å, 60.00 60.00 60.00°
Last column: magnetic moment on the atom in μB.
Atoms (fractional coordinates):
Ir 0.000 0.000 0.000  0.15
Os 0.375 0.375 0.876  0.29
Os 0.876 0.375 0.375  0.29
Os 0.375 0.375 0.375  0.29
Os 0.375 0.876 0.375  0.29
Fe 0.750 0.750 0.750  3.07

## Properties
Crystal system   cubic
Symmetry   F-43m (216)
Formation energy from the elements   0.840 eV per atom
Fermi-level density of states   1.633 states/eV per atom
E_tot   -9.533 eV per atom

=====

Entry 17:
Crystalline DyYMg17 at its relaxed geometry, computed with PBE.

Cell: 7.779 7.779 7.779 Å, 82.06 82.06 82.06°
Atoms (fractional coordinates):
Y 0.672 0.672 0.672
Mg 0.100 0.100 0.100
Mg 0.353 0.353 0.840
Mg 0.353 0.840 0.353
Mg 0.000 0.500 0.000
Mg 0.696 0.000 0.304
Mg 0.304 0.696 0.000
Mg 0.000 0.304 0.696
Mg 0.000 0.000 0.500
Mg 0.901 0.901 0.901
Mg 0.646 0.646 0.160
Mg 0.840 0.353 0.353
Mg 0.000 0.696 0.304
Mg 0.304 0.000 0.696
Mg 0.696 0.304 0.000
Mg 0.160 0.646 0.646
Mg 0.500 0.000 0.000
Mg 0.646 0.160 0.646
Dy 0.329 0.329 0.329

## Properties
Crystal system   trigonal
Symmetry   R3m (160)
Formation energy from the elements   -0.017 eV per atom
Fermi-level density of states   0.434 states/eV per atom
E_tot   -2.027 eV per atom

=====

Entry 18:
Crystalline Pm2AlAu6 at its relaxed geometry, computed with PBE.

Cell: 5.463 6.360 6.360 Å, 59.98 89.99 89.99°
Atoms (fractional coordinates):
Al 0.000 0.000 0.000
Au 0.304 0.820 0.360
Au 0.696 0.180 0.180
Au 0.696 0.180 0.640
Au 0.304 0.820 0.820
Au 0.304 0.360 0.820
Au 0.696 0.640 0.180
Pm 0.176 0.333 0.333
Pm 0.824 0.667 0.667

## Properties
Crystal system   trigonal
Symmetry   P-3m1 (164)
Formation energy from the elements   -0.661 eV per atom
Fermi-level density of states   0.455 states/eV per atom
E_tot   -4.317 eV per atom

=====

Entry 19:
Crystalline Al6Ga2Pt at its relaxed geometry, computed with PBE.

Cell: 4.355 5.914 7.391 Å, 113.58 107.60 90.00°
Atoms (fractional coordinates):
Pt 0.000 0.000 0.000
Al 0.836 0.089 0.678
Al 0.500 0.238 0.000
Al 0.164 0.911 0.322
Al 0.164 0.411 0.322
Al 0.836 0.589 0.678
Al 0.500 0.762 0.000
Ga 0.329 0.332 0.663
Ga 0.671 0.668 0.337

## Properties
Crystal system   monoclinic
Symmetry   C2/m (12)
Formation energy from the elements   -0.298 eV per atom
Fermi-level density of states   0.278 states/eV per atom
E_tot   -4.137 eV per atom

=====

Entry 20:
Crystalline V3Ni2N at its relaxed geometry, computed with PBE.

Cell: 6.409 6.409 6.409 Å, 90.00 90.00 90.00°
Atoms (fractional coordinates):
V 0.044 0.875 0.706
V 0.456 0.125 0.206
V 0.625 0.294 0.544
V 0.375 0.794 0.956
V 0.544 0.625 0.294
V 0.206 0.456 0.125
V 0.706 0.044 0.875
V 0.125 0.206 0.456
V 0.294 0.544 0.625
V 0.875 0.706 0.044
V 0.956 0.375 0.794
V 0.794 0.956 0.375
Ni 0.819 0.319 0.181
Ni 0.681 0.681 0.681
Ni 0.319 0.181 0.819
Ni 0.181 0.819 0.319
Ni 0.569 0.431 0.931
Ni 0.931 0.569 0.431
Ni 0.069 0.069 0.069
Ni 0.431 0.931 0.569
N 0.625 0.875 0.125
N 0.125 0.625 0.875
N 0.375 0.375 0.375
N 0.875 0.125 0.625

## Properties
Crystal system   cubic
Symmetry   P4_132 (213)
Raw formation energy   -0.568 eV per atom
Fermi-level density of states   1.174 states/eV per atom
E_tot   -8.442 eV per atom

=====

Entry 21:
Crystalline Sr2PaSbO6 at its relaxed geometry, computed with PBE.

Cell: 4.595 6.216 6.216 Å, 90.00 90.00 90.00°
Atoms (fractional coordinates):
O 0.699 0.259 0.259
O 0.699 0.259 0.741
O 0.699 0.741 0.259
O 0.192 0.000 0.000
O 0.151 0.500 0.500
O 0.699 0.741 0.741
Pa 0.636 0.500 0.500
Sr 0.024 0.500 0.000
Sr 0.024 0.000 0.500
Sb 0.625 0.000 0.000

## Properties
Crystal system   tetragonal
Symmetry   P4mm (99)
Raw formation energy   -2.624 eV per atom
E_tot   -7.297 eV per atom

=====

Entry 22:
Crystalline Pr2NdDyEr4 at its relaxed geometry, computed with PBE.

Cell: 9.527 9.527 11.882 Å, 128.58 128.58 88.12°
Atoms (fractional coordinates):
Nd 0.000 0.500 0.000
Nd 0.000 0.500 0.500
Er 0.249 0.249 0.004
Er 0.751 0.751 0.996
Er 0.745 0.255 0.500
Er 0.755 0.245 0.000
Er 0.255 0.745 0.500
Er 0.245 0.755 0.000
Er 0.749 0.749 0.504
Er 0.251 0.251 0.496
Dy 0.000 0.000 0.000
Dy 0.500 0.500 0.500
Pr 0.000 0.000 0.500
Pr 0.500 0.500 0.000
Pr 0.500 0.000 0.500
Pr 0.500 0.000 0.000

## Properties
Crystal system   orthorhombic
Symmetry   Imma (74)
Formation energy from the elements   0.412 eV per atom
Fermi-level density of states   2.485 states/eV per atom
E_tot   -4.236 eV per atom

=====

In μB per cell, the M_tot values for the records above are, in order, 0.00 0.00 0.00 0.00 1.01 6.74 0.00 0.00 0.00 0.00 1.17 0.00 0.00 0.00 0.00 4.40 0.00 0.00 0.00 0.00 0.00 0.21.